# LaNb2Os2 GGA-PBE relaxed
data_LaNb2Os2
_cell_length_a 4.448
_cell_length_b 4.448
_cell_length_c 10.756
_cell_angle_alpha 90.00
_cell_angle_beta 90.00
_cell_angle_gamma 90.00
_space_group_name_H-M_alt 'P 1'
_space_group_IT_number 1
loop_
_space_group_symop_operation_xyz
'x,y,z'
loop_
_atom_site_label
_atom_site_type_symbol
_atom_site_fract_x
_atom_site_fract_y
_atom_site_fract_z
La1 La 0.000 0.000 0.000
La2 La 0.500 0.500 0.500
Nb1 Nb 0.000 0.500 0.250
Nb2 Nb 0.000 0.500 0.750
Nb3 Nb 0.500 0.000 0.250
Nb4 Nb 0.500 0.000 0.750
Os1 Os 0.000 0.000 0.379
Os2 Os 0.000 0.000 0.621
Os3 Os 0.500 0.500 0.121
Os4 Os 0.500 0.500 0.879
# ΔH_f (0 K) in kJ per mole of atoms: -21


# LaTaNbOs2 GGA-PBE relaxed
data_LaTaNbOs2
_cell_length_a 4.427
_cell_length_b 4.427
_cell_length_c 10.835
_cell_angle_alpha 90.00
_cell_angle_beta 90.00
_cell_angle_gamma 90.00
_space_group_name_H-M_alt 'P 1'
_space_group_IT_number 1
loop_
_space_group_symop_operation_xyz
'x,y,z'
loop_
_atom_site_label
_atom_site_type_symbol
_atom_site_fract_x
_atom_site_fract_y
_atom_site_fract_z
La1 La 0.000 0.000 0.000
La2 La 0.500 0.500 0.500
Ta1 Ta 0.000 0.500 0.250
Ta2 Ta 0.500 0.000 0.750
Nb1 Nb 0.000 0.500 0.750
Nb2 Nb 0.500 0.000 0.250
Os1 Os 0.000 0.000 0.380
Os2 Os 0.000 0.000 0.620
Os3 Os 0.500 0.500 0.120
Os4 Os 0.500 0.500 0.880
# ΔH_f (0 K) in kJ per mole of atoms: -25


This record from OQMD via LeMat-Bulk describes a relaxed structure of LaPr2Nb2P6. The functional is GGA-PBE.

```
data_LaPr2Nb2P6
_cell_length_a 12.052
_cell_length_b 12.052
_cell_length_c 12.052
_cell_angle_alpha 157.23
_cell_angle_beta 157.23
_cell_angle_gamma 32.42
_space_group_name_H-M_alt 'P 1'
_space_group_IT_number 1
loop_
_space_group_symop_operation_xyz
'x,y,z'
loop_
_atom_site_label
_atom_site_type_symbol
_atom_site_fract_x
_atom_site_fract_y
_atom_site_fract_z
La1 La 0.000 0.000 0.000
Pr1 Pr 0.168 0.168 0.000
Pr2 Pr 0.832 0.832 0.000
Nb1 Nb 0.394 0.394 0.000
Nb2 Nb 0.606 0.606 0.000
P1 P 0.082 0.582 0.500
P2 P 0.294 0.294 0.000
P3 P 0.418 0.918 0.500
P4 P 0.582 0.082 0.500
P5 P 0.706 0.706 0.000
P6 P 0.918 0.418 0.500
```


# LaNbPb GGA-PBE relaxed
data_LaNbPb
_cell_length_a 7.384
_cell_length_b 7.384
_cell_length_c 7.384
_cell_angle_alpha 90.00
_cell_angle_beta 90.00
_cell_angle_gamma 90.00
_space_group_name_H-M_alt 'P 1'
_space_group_IT_number 1
loop_
_space_group_symop_operation_xyz
'x,y,z'
loop_
_atom_site_label
_atom_site_type_symbol
_atom_site_fract_x
_atom_site_fract_y
_atom_site_fract_z
La1 La 0.000 0.000 0.000
La2 La 0.000 0.500 0.500
La3 La 0.500 0.000 0.500
La4 La 0.500 0.500 0.000
Nb1 Nb 0.250 0.250 0.750
Nb2 Nb 0.250 0.750 0.250
Nb3 Nb 0.750 0.250 0.250
Nb4 Nb 0.750 0.750 0.750
Pb1 Pb 0.250 0.250 0.250
Pb2 Pb 0.250 0.750 0.750
Pb3 Pb 0.750 0.250 0.750
Pb4 Pb 0.750 0.750 0.250
# Energy relative to the lowest polymorph listed for this composition in eV per atom: 0.447


# LaNbPb GGA-PBE relaxed
data_LaNbPb
_cell_length_a 7.177
_cell_length_b 7.177
_cell_length_c 7.177
_cell_angle_alpha 90.00
_cell_angle_beta 90.00
_cell_angle_gamma 90.00
_space_group_name_H-M_alt 'P 1'
_space_group_IT_number 1
loop_
_space_group_symop_operation_xyz
'x,y,z'
loop_
_atom_site_label
_atom_site_type_symbol
_atom_site_fract_x
_atom_site_fract_y
_atom_site_fract_z
La1 La 0.000 0.000 0.000
La2 La 0.000 0.500 0.500
La3 La 0.500 0.000 0.500
La4 La 0.500 0.500 0.000
Nb1 Nb 0.000 0.000 0.500
Nb2 Nb 0.000 0.500 0.000
Nb3 Nb 0.500 0.000 0.000
Nb4 Nb 0.500 0.500 0.500
Pb1 Pb 0.250 0.250 0.250
Pb2 Pb 0.250 0.750 0.750
Pb3 Pb 0.750 0.250 0.750
Pb4 Pb 0.750 0.750 0.250
# Energy relative to the lowest polymorph listed for this composition in eV per atom: 0.000


# LaNbPd GGA-PBE relaxed
data_LaNbPd
_cell_length_a 6.781
_cell_length_b 6.781
_cell_length_c 6.781
_cell_angle_alpha 90.00
_cell_angle_beta 90.00
_cell_angle_gamma 90.00
_space_group_name_H-M_alt 'P 1'
_space_group_IT_number 1
loop_
_space_group_symop_operation_xyz
'x,y,z'
loop_
_atom_site_label
_atom_site_type_symbol
_atom_site_fract_x
_atom_site_fract_y
_atom_site_fract_z
La1 La 0.000 0.000 0.000
La2 La 0.000 0.500 0.500
La3 La 0.500 0.000 0.500
La4 La 0.500 0.500 0.000
Nb1 Nb 0.000 0.000 0.500
Nb2 Nb 0.000 0.500 0.000
Nb3 Nb 0.500 0.000 0.000
Nb4 Nb 0.500 0.500 0.500
Pd1 Pd 0.250 0.250 0.250
Pd2 Pd 0.250 0.750 0.750
Pd3 Pd 0.750 0.250 0.750
Pd4 Pd 0.750 0.750 0.250
# ΔH_f (0 K) in kJ per mole of atoms: 32


no.,energy (eV per atom)
1,-9.732
2,-10.119
3,-7.050
4,-5.320
5,-5.767
6,-6.396